1.
# Ge4Pd3Se

A relaxed structure of Ge4Pd3Se (PBE, the Open Quantum Materials Database).

```
Ge4Pd3Se
1.0
-4.8056 0.0061 4.1551
-1.2217 -2.9943 -1.4086
3.7342 -3.4430 4.0802
Ge Pd Se
4 3 1
direct
0.8389 0.5000 0.0484 Ge
0.6936 0.0000 0.6024 Ge
0.1799 0.0000 0.9168 Ge
0.2916 0.5000 0.4337 Ge
0.4790 0.5000 0.7898 Pd
0.0041 0.0000 0.2998 Pd
0.9837 0.5000 0.6711 Pd
0.5292 0.0000 0.2380 Se
```

Values from the calculation:
The theoretical density comes out at 7837 kg/m3. As for the space-group type: Pm (6). The calculation puts the uncorrected energy at -4.879 eV/atom.


2.
# HoMg2

A relaxed structure of HoMg2 (PBE, the Open Quantum Materials Database).

```
HoMg2
1.0
-14.9589 -3.1629 -6.0485
0.9386 -3.3816 -0.5530
-1.6987 -1.2669 4.8638
Mg Ho
8 4
direct
0.9583 0.5000 0.5000 Mg
0.8313 0.5000 0.0000 Mg
0.3313 0.0000 0.0000 Mg
0.9861 0.0000 0.0000 Mg
0.6131 0.5000 0.5000 Mg
0.1131 0.0000 0.5000 Mg
0.4583 0.0000 0.5000 Mg
0.4861 0.5000 0.0000 Mg
0.7878 0.0000 0.5000 Ho
0.2878 0.5000 0.5000 Ho
0.6566 0.0000 0.0000 Ho
0.1566 0.5000 0.0000 Ho
```

Values from the calculation:
The theoretical density comes out at 4577 kg/m3. As for the total magnetization: 0.0 μB/cell. As for the space-group type: Cmcm (63). The calculation puts the uncorrected energy at -2.581 eV/atom.


3.
# Tm2Si2Tc

A relaxed structure of Tm2Si2Tc (PBE, the Open Quantum Materials Database).

```
Tm2Si2Tc
1.0
8.5889 -1.6400 2.4155
4.5395 -4.5846 4.9595
3.3683 -2.4366 -3.7759
Tm Si Tc
4 4 2
direct
0.0854 0.4146 0.0854 Tm
0.4146 0.0854 0.4146 Tm
0.8354 0.1646 0.8354 Tm
0.1646 0.8354 0.1646 Tm
0.1250 0.6250 0.6250 Si
0.6250 0.6250 0.6250 Si
0.6250 0.1250 0.6250 Si
0.6250 0.6250 0.1250 Si
0.7500 0.7500 0.7500 Tc
0.5000 0.5000 0.5000 Tc
```

Values from the calculation:
The theoretical density comes out at 7873 kg/m3. As for the total magnetization: 0.0 μB/cell. For the excess energy over the best structure of this formula in the dataset, the calculation gives 366 meV per atom. As for the space-group type: Fddd (70). The calculation puts the uncorrected energy at -6.431 eV/atom.


4.
# Dy4GeO3

A relaxed structure of Dy4GeO3 (PBE, the Open Quantum Materials Database).

```
Dy4GeO3
1.0
-2.5896 2.5896 5.0246
2.5896 -2.5896 5.0246
2.5896 2.5896 -5.0246
O Dy Ge
3 4 1
direct
0.7500 0.2500 0.5000 O
0.2500 0.7500 0.5000 O
0.5000 0.5000 0.0000 O
0.7320 0.7320 0.0000 Dy
0.5000 0.0000 0.5000 Dy
0.0000 0.5000 0.5000 Dy
0.2680 0.2680 0.0000 Dy
0.0000 0.0000 0.0000 Ge
```

Values from the calculation:
The theoretical density comes out at 9494 kg/m3. As for the total magnetization: 0.0 μB/cell. As for the space-group type: I4/mmm (139). The calculation puts the uncorrected energy at -6.869 eV/atom.


5.
# PrDyBe2Ge2

A relaxed structure of PrDyBe2Ge2 (PBE, the Open Quantum Materials Database).

```
PrDyBe2Ge2
1.0
-0.7437 3.8925 -0.1198
-2.8086 -2.5182 1.2203
2.7332 0.7643 7.8680
Ge Be Pr Dy
2 2 1 1
direct
0.6667 0.3333 0.7391 Ge
0.3333 0.6667 0.2609 Ge
0.6667 0.3333 0.2581 Be
0.3333 0.6667 0.7419 Be
0.0000 0.0000 0.0000 Pr
0.0000 0.0000 0.5000 Dy
```

Values from the calculation:
The theoretical density comes out at 6806 kg/m3. As for the total magnetization: 0.0 μB/cell. As for the space-group type: P-3m1 (164). The calculation puts the uncorrected energy at -4.996 eV/atom.


6.
# Zn3As2O8

A relaxed structure of Zn3As2O8 (PBE, the Open Quantum Materials Database).

```
Zn3As2O8
1.0
-0.9437 6.3733 -0.8584
-3.8558 -1.6015 -7.6513
-9.8150 -1.2794 5.2141
As O Zn
8 32 12
direct
0.0919 0.8869 0.6320 As
0.6078 0.5575 0.3539 As
0.3922 0.0575 0.1461 As
0.9081 0.1131 0.3680 As
0.6078 0.9425 0.8539 As
0.0919 0.6131 0.1320 As
0.3922 0.4425 0.6461 As
0.9081 0.3869 0.8680 As
0.0309 0.0748 0.6435 O
0.9010 0.7383 0.0847 O
0.4208 0.0753 0.8827 O
0.4464 0.2434 0.1095 O
0.1730 0.9909 0.0725 O
0.9691 0.5748 0.8565 O
0.4464 0.2566 0.6095 O
0.8270 0.4909 0.4275 O
0.5792 0.9247 0.1173 O
0.0309 0.4252 0.1435 O
0.6359 0.9561 0.7022 O
0.5536 0.7434 0.3905 O
0.1719 0.8433 0.7779 O
0.1719 0.6567 0.2779 O
0.7024 0.1318 0.4593 O
0.1730 0.5091 0.5725 O
0.7024 0.3682 0.9593 O
0.2976 0.6318 0.0407 O
0.3641 0.4561 0.7978 O
0.0990 0.2617 0.9153 O
0.3641 0.0439 0.2978 O
0.6359 0.5439 0.2022 O
0.8281 0.1567 0.2221 O
0.8270 0.0091 0.9275 O
0.4208 0.4247 0.3827 O
0.9010 0.7617 0.5847 O
0.2976 0.8682 0.5407 O
0.5536 0.7566 0.8905 O
0.9691 0.9252 0.3565 O
0.5792 0.5753 0.6173 O
0.8281 0.3433 0.7221 O
0.0990 0.2383 0.4153 O
0.4092 0.2984 0.9287 Zn
0.7413 0.3450 0.1381 Zn
0.5908 0.7016 0.0713 Zn
0.4092 0.2016 0.4287 Zn
0.2587 0.6550 0.8619 Zn
0.8842 0.9696 0.1184 Zn
0.1158 0.0304 0.8816 Zn
0.1158 0.4696 0.3816 Zn
0.2587 0.8450 0.3619 Zn
0.7413 0.1550 0.6381 Zn
0.8842 0.5304 0.6184 Zn
0.5908 0.7984 0.5713 Zn
```

Values from the calculation:
The theoretical density comes out at 4973 kg/m3. For the excess energy over the best structure of this formula in the dataset, the calculation gives 11 meV per atom. As for the space-group type: P2_1/c (14). The calculation puts the uncorrected energy at -5.378 eV/atom.


7.
# Tm3ScSb2C2

A relaxed structure of Tm3ScSb2C2 (PBE, the Open Quantum Materials Database).

```
Tm3ScSb2C2
1.0
3.5556 0.0000 0.0000
-1.7778 3.0793 0.0000
0.0000 0.0000 14.8065
Tm Sb Sc C
3 2 1 2
direct
0.3333 0.6667 0.0812 Tm
0.3333 0.6667 0.4146 Tm
0.0000 0.0000 0.5902 Tm
0.0000 0.0000 0.2476 Sb
0.3333 0.6667 0.7569 Sb
0.0000 0.0000 0.9141 Sc
0.6667 0.3333 0.5022 C
0.6667 0.3333 0.9933 C
```

Values from the calculation:
The theoretical density comes out at 8392 kg/m3. As for the total magnetization: 0.0 μB/cell. As for the space-group type: P3m1 (156). The calculation puts the uncorrected energy at -6.500 eV/atom.


8.
# SrNbNO

A relaxed structure of SrNbNO (PBE, the Open Quantum Materials Database).

```
SrNbNO
1.0
1.7981 2.0188 -2.6118
-0.5464 4.8650 3.3842
5.2971 -1.2628 2.6707
Nb N Sr O
2 2 2 2
direct
0.5000 0.4690 0.8901 Nb
0.5000 0.9690 0.1099 Nb
0.0000 0.4502 0.7745 N
0.0000 0.9502 0.2255 N
0.0000 0.5208 0.3447 Sr
0.0000 0.0208 0.6553 Sr
0.5000 0.8141 0.8087 O
0.5000 0.3141 0.1913 O
```

Values from the calculation:
The theoretical density comes out at 5153 kg/m3. As for the total magnetization: 0.0 μB/cell. For the excess energy over the best structure of this formula in the dataset, the calculation gives 146 meV per atom. As for the space-group type: Pmc2_1 (26). The calculation puts the uncorrected energy at -7.667 eV/atom.


- uncorrected energy of number 7 (Tm3ScSb2C2)?
  -6.500 eV/atom


- The highest uncorrected energy belongs to which entry?
  HoMg2